# 1
Here is a relaxed Ba3Hg2N crystal from the Alexandria database. Energies are from PBE-GGA.

Values from the calculation:
Mass density: 6.423 Mg/m³
Total DFT energy (no corrections): -2.831 eV per atom
Offset from the most stable computed form: 53 meV per atom
Volume: 35.64 A^3/atom
ΔE_f (raw): -0.38 eV/atom

Unit cell a=8.8031 b=8.8031 c=8.0215 alpha=103.13 beta=103.13 gamma=45.23
With the nearest neighbours (Å) after each atom.
Positions (direct):
Ba: 0.0501 0.9499 0.7500  1 N 2.54
Ba: 0.3827 0.3840 0.9425  2 N 2.76-2.77
Ba: 0.3840 0.3827 0.4425  2 N 2.76-2.77
Ba: 0.6160 0.6173 0.5575  2 N 2.76-2.77
Ba: 0.6173 0.6160 0.0575  2 N 2.76-2.77
Ba: 0.9499 0.0501 0.2500  1 N 2.54
Hg: 0.1891 0.1903 0.0953  6 Ba 3.57-3.65
Hg: 0.1903 0.1891 0.5953  6 Ba 3.57-3.65
Hg: 0.8097 0.8109 0.4047  6 Ba 3.57-3.65
Hg: 0.8109 0.8097 0.9047  6 Ba 3.57-3.65
N: 0.4248 0.5752 0.7500  5 Ba 2.54-2.77
N: 0.5752 0.4248 0.2500  5 Ba 2.54-2.77

***

# 2
Here is a relaxed SrLaI2 crystal from the Alexandria database. Energies are from PBE-GGA.

Values from the calculation:
Mass density: 6.121 Mg/m³
Total DFT energy (no corrections): -3.328 eV per atom
Offset from the most stable computed form: 98 meV per atom
Volume: 32.57 A^3/atom
ΔE_f (raw): -0.90 eV/atom

Unit cell a=5.6905 b=5.6905 c=5.6905 alpha=60.00 beta=60.00 gamma=60.00
With the nearest neighbours (Å) after each atom.
Positions (direct):
Sr: 0.0000 0.0000 0.0000  8 I 3.48
La: 0.5000 0.5000 0.5000  8 I 3.48
I: 0.2500 0.2500 0.2500  4 La 3.48, 4 Sr 3.48
I: 0.7500 0.7500 0.7500  4 La 3.48, 4 Sr 3.48